Entry 1:
This record from Alexandria via LeMat-Bulk describes a geometry-optimized SnH2Ir structure. The functional is PBE.

a = 3.3432 Å, b = 3.3459 Å, c = 4.9390 Å
α = 109.64°, β = 109.60°, γ = 90.41°
Closest atoms and distances in Å follow each position.
Element x y z (fractional)
1 H 0.1092 0.0335 0.4667  2 Ir 1.78
2 Sn 0.8648 0.2896 0.9780  8 H 2.70-2.78, 5 Ir 2.73-2.87
3 Ir 0.1790 0.6036 0.6072  4 H 1.78
4 H 0.6085 0.5335 0.4662  2 Ir 1.78

## Properties
energy relative to the lowest polymorph listed for this composition	35	meV per atom
calculated volume	12.14	A^3/atom

---

Entry 2:
This record from Alexandria via LeMat-Bulk describes a geometry-optimized SnHIr3 structure. The functional is PBE.

a = 4.9195 Å, b = 4.9195 Å, c = 4.9195 Å
α = 90.00°, β = 90.00°, γ = 90.00°
Closest atoms and distances in Å follow each position.
Element x y z (fractional)
1 Ir 0.0000 0.0000 0.5000  2 Sn 2.46
2 Sn 0.0000 0.0000 0.0000  6 Ir 2.46
3 Ir 0.5000 0.0000 0.0000  2 Sn 2.46
4 Ir 0.0000 0.5000 0.0000  2 Sn 2.46
5 H 0.5000 0.5000 0.5000  12 Ir 3.48

## Properties
energy relative to the lowest polymorph listed for this composition	2485	meV per atom
calculated volume	23.81	A^3/atom

---

Entry 3:
This record from Alexandria via LeMat-Bulk describes a geometry-optimized SnH2Ir structure. The functional is PBE.

a = 2.9306 Å, b = 4.2375 Å, c = 4.5352 Å
α = 107.92°, β = 108.81°, γ = 90.08°
Closest atoms and distances in Å follow each position.
Element x y z (fractional)
1 H 0.7986 0.9090 0.9137  2 Ir 1.82, 1 H 2.04
2 H 0.9614 0.6513 0.2396  2 Ir 1.78-1.79
3 Ir 0.3569 0.7172 0.0311  4 H 1.78-1.82
4 Sn 0.5831 0.3317 0.4827  3 H 2.45-2.54, 1 Ir 2.69

## Properties
energy relative to the lowest polymorph listed for this composition	177	meV per atom
calculated volume	12.60	A^3/atom

---

Entry 4:
This record from Alexandria via LeMat-Bulk describes a geometry-optimized SnH3Ir structure. The functional is PBE.

a = 3.7184 Å, b = 3.7184 Å, c = 3.7184 Å
α = 90.00°, β = 90.00°, γ = 90.00°
Closest atoms and distances in Å follow each position.
Element x y z (fractional)
1 H 0.0000 0.5000 0.0000  2 Ir 1.86
2 Ir 0.0000 0.0000 0.0000  6 H 1.86
3 H 0.5000 0.0000 0.0000  2 Ir 1.86
4 Sn 0.5000 0.5000 0.5000  12 H 2.63
5 H 0.0000 0.0000 0.5000  2 Ir 1.86

## Properties
energy relative to the lowest polymorph listed for this composition	213	meV per atom
calculated volume	10.28	A^3/atom

---

Entry 5:
This record from Alexandria via LeMat-Bulk describes a geometry-optimized SnH3Ir structure. The functional is PBE.

a = 5.3849 Å, b = 4.4404 Å, c = 6.1293 Å
α = 90.00°, β = 131.05°, γ = 90.00°
Closest atoms and distances in Å follow each position.
Element x y z (fractional)
1 H 0.7904 0.2062 0.6146  2 Ir 1.79-1.81, 2 H 1.82-1.89
2 H 0.3495 0.4476 0.2269  1 Ir 1.65, 2 H 1.82
3 Ir 0.0708 0.9476 0.6426  5 H 1.65-1.81
4 H 0.6849 0.9476 0.3336  1 Ir 1.65, 2 H 1.82
5 Ir 0.9636 0.4476 0.9180  5 H 1.65-1.81
6 H 0.2440 0.7062 0.9460  2 Ir 1.79-1.81, 2 H 1.82-1.89
7 Sn 0.2645 0.4476 0.5266  1 H 2.16
8 H 0.2439 0.1890 0.9460  2 Ir 1.79-1.81, 2 H 1.82-1.89
9 Sn 0.7698 0.9476 0.0340  1 H 2.16
10 H 0.7904 0.6891 0.6146  2 Ir 1.79-1.81, 2 H 1.82-1.89

## Properties
energy relative to the lowest polymorph listed for this composition	0	meV per atom
calculated volume	11.05	A^3/atom

---

Entry 6:
This record from Alexandria via LeMat-Bulk describes a geometry-optimized SrSnH6Ir2 structure. The functional is PBE.

a = 4.5972 Å, b = 4.5972 Å, c = 6.6299 Å
α = 69.71°, β = 69.71°, γ = 60.00°
Closest atoms and distances in Å follow each position.
Element x y z (fractional)
1 H 0.0439 0.5717 0.8126  1 Ir 1.64
2 Sr 0.0000 0.0000 0.0000  12 H 2.57
3 H 0.5718 0.0439 0.8126  1 Ir 1.64
4 Sn 0.5000 0.5000 0.5000  6 H 2.36
5 Ir 0.2132 0.2132 0.3605  3 H 1.64
6 H 0.4283 0.4282 0.1874  1 Ir 1.64
7 H 0.9561 0.4283 0.1874  1 Ir 1.64
8 Ir 0.7868 0.7868 0.6395  3 H 1.64
9 H 0.4282 0.9561 0.1874  1 Ir 1.64
10 H 0.5717 0.5718 0.8126  1 Ir 1.64

## Properties
calculated volume	11.12	A^3/atom

---

no.,uncorrected energy (eV per atom)
1,-4.957
2,-4.260
3,-4.816
4,-4.382
5,-4.595
6,-4.672